# Pr2Y4Tm7

Crystalline Pr2Y4Tm7 at its relaxed geometry (PBE, Alexandria).

Cell: 6.0425 6.0425 13.3676 Å, 90.00 90.00 120.00°
Closest atoms and distances in Å follow each position.
Fractional coordinates of all 13 atoms:
1 Y 0.0000 0.0000 0.6050  1 Y 2.81
2 Y 0.0000 0.0000 0.3950  1 Y 2.81
3 Y 0.3333 0.6667 0.5000  9 Y 3.49-3.76
4 Y 0.6667 0.3333 0.5000  9 Y 3.49-3.76
5 Pr 0.3333 0.6667 0.0000  9 Tm 3.48-3.49, 3 Pr 3.49
6 Pr 0.6667 0.3333 0.0000  9 Tm 3.48-3.49, 3 Pr 3.49
7 Tm 0.3494 0.0000 0.2147  1 Y 3.20, 5 Tm 3.41-3.56, 2 Pr 3.48
8 Tm 0.0000 0.3494 0.2147  1 Y 3.20, 5 Tm 3.41-3.56, 2 Pr 3.48
9 Tm 0.0000 0.6506 0.7853  1 Y 3.20, 5 Tm 3.41-3.56, 2 Pr 3.48
10 Tm 0.3494 0.3494 0.7853  1 Y 3.20, 5 Tm 3.41-3.56, 2 Pr 3.48
11 Tm 0.6506 0.6506 0.2147  1 Y 3.20, 5 Tm 3.41-3.56, 2 Pr 3.48
12 Tm 0.0000 0.0000 0.0000  6 Pr 3.49, 6 Tm 3.56
13 Tm 0.6506 0.0000 0.7853  1 Y 3.20, 5 Tm 3.41-3.56, 2 Pr 3.48

Results
spin magnetization = 0.000 μB/atom
DFT formation energy = 187 meV/atom
VASP energy = -4.945 eV per atom

***

# PrY12Tm7

Crystalline PrY12Tm7 at its relaxed geometry (PBE, Alexandria).

Cell: 8.6871 8.6871 8.6871 Å, 95.34 95.34 95.34°
Closest atoms and distances in Å follow each position.
Fractional coordinates of all 20 atoms:
1 Y 0.2494 0.6820 0.8110  3 Y 3.35-3.56, 3 Tm 3.36-3.54
2 Y 0.8534 0.5870 0.5259  2 Tm 3.06-3.08, 2 Y 3.13-3.35
3 Y 0.3180 0.1890 0.7506  3 Y 3.35-3.56, 3 Tm 3.36-3.54
4 Y 0.1466 0.4130 0.4741  2 Tm 3.06-3.08, 2 Y 3.13-3.35
5 Y 0.5870 0.5259 0.8534  2 Tm 3.06-3.08, 2 Y 3.13-3.35
6 Y 0.4130 0.4741 0.1466  2 Tm 3.06-3.08, 2 Y 3.13-3.35
7 Y 0.7506 0.3180 0.1890  3 Y 3.35-3.56, 3 Tm 3.36-3.54
8 Y 0.4741 0.1466 0.4130  2 Tm 3.06-3.08, 2 Y 3.13-3.35
9 Y 0.1890 0.7506 0.3180  3 Y 3.35-3.56, 3 Tm 3.36-3.54
10 Y 0.5259 0.8534 0.5870  2 Tm 3.06-3.08, 2 Y 3.13-3.35
11 Y 0.8110 0.2494 0.6820  3 Y 3.35-3.56, 3 Tm 3.36-3.54
12 Y 0.6820 0.8110 0.2494  3 Y 3.35-3.56, 3 Tm 3.36-3.54
13 Pr 0.0000 0.0000 0.0000  6 Tm 3.05
14 Tm 0.0800 0.3511 0.0158  1 Pr 3.05, 2 Y 3.06-3.36, 1 Tm 3.07
15 Tm 0.9200 0.6489 0.9842  1 Pr 3.05, 2 Y 3.06-3.36, 1 Tm 3.07
16 Tm 0.6489 0.9842 0.9200  1 Pr 3.05, 2 Y 3.06-3.36, 1 Tm 3.07
17 Tm 0.3511 0.0158 0.0800  1 Pr 3.05, 2 Y 3.06-3.36, 1 Tm 3.07
18 Tm 0.9842 0.9200 0.6489  1 Pr 3.05, 2 Y 3.06-3.36, 1 Tm 3.07
19 Tm 0.5000 0.5000 0.5000  6 Y 3.08
20 Tm 0.0158 0.0800 0.3511  1 Pr 3.05, 2 Y 3.06-3.36, 1 Tm 3.07

Results
spin magnetization = 0.000 μB/atom
energy relative to the lowest polymorph listed for this composition = 0.00 kcal/mol of atoms
DFT formation energy = 297 meV/atom
VASP energy = -5.385 eV per atom

***

# PrY3Tm12

Crystalline PrY3Tm12 at its relaxed geometry (PBE, Alexandria).

Cell: 4.9748 4.9748 19.9113 Å, 90.00 90.00 90.00°
Closest atoms and distances in Å follow each position.
Fractional coordinates of all 16 atoms:
1 Tm 0.0000 0.5000 0.8735  2 Y 3.51, 8 Tm 3.52-3.54, 2 Pr 3.54
2 Tm 0.5000 0.5000 0.2514  8 Tm 3.51-3.52, 4 Y 3.52
3 Tm 0.0000 0.5000 0.6245  8 Tm 3.51-3.52, 4 Y 3.51
4 Tm 0.5000 0.0000 0.3755  8 Tm 3.51-3.52, 4 Y 3.51
5 Tm 0.5000 0.0000 0.6245  8 Tm 3.51-3.52, 4 Y 3.51
6 Tm 0.5000 0.5000 0.0000  4 Pr 3.52, 8 Tm 3.54
7 Tm 0.0000 0.5000 0.3755  8 Tm 3.51-3.52, 4 Y 3.51
8 Tm 0.5000 0.5000 0.7486  8 Tm 3.51-3.52, 4 Y 3.52
9 Tm 0.5000 0.0000 0.1265  2 Y 3.51, 8 Tm 3.52-3.54, 2 Pr 3.54
10 Tm 0.5000 0.0000 0.8735  2 Y 3.51, 8 Tm 3.52-3.54, 2 Pr 3.54
11 Tm 0.5000 0.5000 0.5000  8 Tm 3.51, 4 Y 3.52
12 Tm 0.0000 0.5000 0.1265  2 Y 3.51, 8 Tm 3.52-3.54, 2 Pr 3.54
13 Y 0.0000 0.0000 0.2508  12 Tm 3.51-3.52
14 Y 0.0000 0.0000 0.7492  12 Tm 3.51-3.52
15 Y 0.0000 0.0000 0.5000  12 Tm 3.51-3.52
16 Pr 0.0000 0.0000 0.0000  12 Tm 3.52-3.54

Results
spin magnetization = 0.000 μB/atom
DFT formation energy = 29 meV/atom
VASP energy = -4.835 eV per atom

***

# Pr2YTm3

Crystalline Pr2YTm3 at its relaxed geometry (PBE, Alexandria).

Cell: 3.5021 9.0881 13.0008 Å, 78.08 82.26 78.89°
Closest atoms and distances in Å follow each position.
Fractional coordinates of all 12 atoms:
1 Tm 0.4019 0.1700 0.0262  6 Tm 3.23-3.55, 3 Pr 3.52-3.54
2 Tm 0.9605 0.8730 0.2061  8 Tm 3.50-3.63, 3 Pr 3.54-3.76, 2 Y 3.82
3 Tm 0.2632 0.1816 0.2919  4 Pr 3.39-3.53, 5 Tm 3.44-3.60, 2 Y 3.70
4 Tm 0.5981 0.8300 0.9738  6 Tm 3.23-3.55, 3 Pr 3.52-3.54
5 Tm 0.0395 0.1270 0.7939  8 Tm 3.50-3.63, 3 Pr 3.54-3.76, 2 Y 3.82
6 Tm 0.7368 0.8184 0.7081  4 Pr 3.39-3.53, 5 Tm 3.44-3.60, 2 Y 3.70
7 Y 0.5625 0.5174 0.3576  4 Pr 3.46-3.56, 3 Y 3.50-3.62, 4 Tm 3.70-3.82
8 Y 0.4375 0.4826 0.6424  4 Pr 3.46-3.56, 3 Y 3.50-3.62, 4 Tm 3.70-3.82
9 Pr 0.6552 0.1574 0.5323  5 Tm 3.42-3.76, 2 Y 3.46-3.56, 4 Pr 3.50-3.54
10 Pr 0.8192 0.4814 0.8802  5 Tm 3.39-3.54, 4 Pr 3.50-3.62, 2 Y 3.53
11 Pr 0.1808 0.5186 0.1198  5 Tm 3.39-3.54, 4 Pr 3.50-3.62, 2 Y 3.53
12 Pr 0.3448 0.8426 0.4677  5 Tm 3.42-3.76, 2 Y 3.46-3.56, 4 Pr 3.50-3.54

Results
spin magnetization = 0.000 μB/atom
energy relative to the lowest polymorph listed for this composition = 0.00 kcal/mol of atoms
DFT formation energy = 123 meV/atom
VASP energy = -4.784 eV per atom

***

# Pr3Y3Tm

Crystalline Pr3Y3Tm at its relaxed geometry (PBE, Alexandria).

Cell: 8.7982 8.7982 8.8692 Å, 60.26 60.26 60.00°
Closest atoms and distances in Å follow each position.
Fractional coordinates of all 14 atoms:
1 Y 0.9383 0.4312 0.3570  3 Pr 3.29-3.43
2 Y 0.0617 0.5688 0.6430  3 Pr 3.29-3.43
3 Y 0.7265 0.0617 0.6430  3 Pr 3.29-3.43
4 Y 0.4312 0.2735 0.3570  3 Pr 3.29-3.43
5 Y 0.5688 0.7265 0.6430  3 Pr 3.29-3.43
6 Y 0.2735 0.9383 0.3570  3 Pr 3.29-3.43
7 Tm 0.3501 0.3501 0.9498  6 Pr 3.50-3.81, 6 Y 3.70-3.78
8 Tm 0.6499 0.6499 0.0502  6 Pr 3.50-3.81, 6 Y 3.70-3.78
9 Pr 0.7035 0.9369 0.1742  3 Y 3.29-3.43, 4 Pr 3.30-3.67, 1 Tm 3.50
10 Pr 0.9369 0.1853 0.1742  3 Y 3.29-3.43, 4 Pr 3.30-3.67, 1 Tm 3.50
11 Pr 0.8147 0.2965 0.8258  3 Y 3.29-3.43, 4 Pr 3.30-3.67, 1 Tm 3.50
12 Pr 0.1853 0.7035 0.1742  3 Y 3.29-3.43, 4 Pr 3.30-3.67, 1 Tm 3.50
13 Pr 0.2965 0.0631 0.8258  3 Y 3.29-3.43, 4 Pr 3.30-3.67, 1 Tm 3.50
14 Pr 0.0631 0.8147 0.8258  3 Y 3.29-3.43, 4 Pr 3.30-3.67, 1 Tm 3.50

Results
spin magnetization = 0.000 μB/atom
DFT formation energy = 251 meV/atom
VASP energy = -5.207 eV per atom

***

# PrYTm4

Crystalline PrYTm4 at its relaxed geometry (PBE, Alexandria).

Cell: 6.5654 6.5654 6.5654 Å, 60.00 60.00 60.00°
Closest atoms and distances in Å follow each position.
Fractional coordinates of all 6 atoms:
1 Tm 0.6256 0.6256 0.1232  6 Tm 3.27-3.30
2 Tm 0.1232 0.6256 0.6256  6 Tm 3.27-3.30
3 Tm 0.6256 0.6256 0.6256  6 Tm 3.27-3.30
4 Tm 0.6256 0.1232 0.6256  6 Tm 3.27-3.30
5 Y 0.0000 0.0000 0.0000  12 Tm 3.85, 4 Pr 4.02
6 Pr 0.2500 0.2500 0.2500  12 Tm 3.85, 4 Y 4.02

Results
spin magnetization = 0.265 μB/atom
energy relative to the lowest polymorph listed for this composition = 5.40 kcal/mol of atoms
DFT formation energy = 263 meV/atom
VASP energy = -4.592 eV per atom

***

# PrY6Tm3

Crystalline PrY6Tm3 at its relaxed geometry (PBE, Alexandria).

Cell: 9.8197 9.8197 6.8945 Å, 44.59 44.59 60.00°
Closest atoms and distances in Å follow each position.
Fractional coordinates of all 10 atoms:
1 Tm 0.3971 0.3971 0.8088  2 Tm 2.88-2.92
2 Tm 0.1492 0.1492 0.5525  1 Tm 2.92, 1 Pr 2.94
3 Tm 0.6419 0.6419 0.0743  1 Tm 2.88, 1 Pr 3.03
4 Y 0.5657 0.2359 0.2946  1 Pr 3.29, 2 Tm 3.39-3.40
5 Y 0.0703 0.4045 0.7927  3 Tm 3.25-3.45
6 Y 0.2359 0.9038 0.2946  1 Pr 3.29, 2 Tm 3.39-3.40
7 Y 0.7326 0.0703 0.7927  3 Tm 3.25-3.45
8 Y 0.4045 0.7326 0.7927  3 Tm 3.25-3.45
9 Y 0.9038 0.5657 0.2946  1 Pr 3.29, 2 Tm 3.39-3.40
10 Pr 0.8991 0.8991 0.3026  2 Tm 2.94-3.03, 3 Y 3.29

Results
spin magnetization = 0.000 μB/atom
energy relative to the lowest polymorph listed for this composition = 2.38 kcal/mol of atoms
DFT formation energy = 248 meV/atom
VASP energy = -5.449 eV per atom

***

# Pr2Y3Tm2

Crystalline Pr2Y3Tm2 at its relaxed geometry (PBE, Alexandria).

Cell: 3.5550 8.6651 8.8441 Å, 118.79 90.00 101.85°
Closest atoms and distances in Å follow each position.
Fractional coordinates of all 7 atoms:
1 Tm 0.0703 0.1411 0.4263  3 Tm 3.24-3.56, 4 Y 3.35-3.49, 4 Pr 3.59-3.62
2 Tm 0.9297 0.8589 0.5737  3 Tm 3.24-3.56, 4 Y 3.35-3.49, 4 Pr 3.59-3.62
3 Y 0.7040 0.4085 0.2967  3 Tm 3.37-3.49, 6 Y 3.56-3.62, 1 Pr 3.73
4 Y 0.2960 0.5915 0.7033  3 Tm 3.37-3.49, 6 Y 3.56-3.62, 1 Pr 3.73
5 Y 0.0000 0.0000 0.0000  2 Tm 3.35, 6 Y 3.56-3.62
6 Pr 0.6379 0.2758 0.8276  4 Pr 3.56-3.94, 4 Tm 3.59-3.62, 5 Y 3.73-3.80
7 Pr 0.3621 0.7242 0.1724  4 Pr 3.56-3.94, 4 Tm 3.59-3.62, 5 Y 3.73-3.80

Results
spin magnetization = 0.000 μB/atom
energy relative to the lowest polymorph listed for this composition = 0.19 kcal/mol of atoms
DFT formation energy = 30 meV/atom
VASP energy = -5.384 eV per atom